Compound: RbPdC4Br
Source: the Alexandria database
Functional: PBE
Structure: optimized geometry

Values from the calculation:
Formation energy (no corrections) = 0.7012 eV per atom
Space group = P4/mmm

Cell lengths 5.269, 5.269, 5.330 Å; angles 90.00, 90.00, 90.00 degrees
Positions (direct):
Rb: 0.000 0.000 0.000
Pd: 0.500 0.500 0.500
C: 0.119 0.500 0.500
C: 0.500 0.119 0.500
C: 0.500 0.881 0.500
C: 0.881 0.500 0.500
Br: 0.500 0.500 0.000

---

Compound: Y8Er2Tm
Source: the Alexandria database
Functional: PBE
Structure: optimized geometry

Values from the calculation:
E above lowest polymorph = 306 meV per atom
Space group = C2/m
ΔE_f = 0.47 eV per atom

Cell lengths 8.343, 8.343, 5.805 Å; angles 99.83, 99.83, 86.50 degrees
Positions (direct):
Y: 0.075 0.075 0.288
Y: 0.149 0.647 0.203
Y: 0.229 0.229 0.903
Y: 0.353 0.851 0.797
Y: 0.647 0.149 0.203
Y: 0.771 0.771 0.097
Y: 0.851 0.353 0.797
Y: 0.925 0.925 0.712
Er: 0.365 0.365 0.481
Er: 0.635 0.635 0.519
Tm: 0.500 0.500 0.000

---

Compound: Li4Mn2Cl9
Source: the Alexandria database
Functional: PBE
Structure: optimized geometry

Values from the calculation:
Formation energy (no corrections) = -1.4173 eV per atom
Space group = P-1

Cell lengths 6.375, 6.447, 17.981 Å; angles 84.77, 83.37, 60.64 degrees
Positions (direct):
Li: 0.002 0.208 0.445
Li: 0.097 0.138 0.164
Li: 0.179 0.166 0.983
Li: 0.293 0.116 0.669
Li: 0.707 0.884 0.331
Li: 0.821 0.834 0.017
Li: 0.903 0.862 0.836
Li: 0.998 0.792 0.555
Mn: 0.376 0.540 0.335
Mn: 0.463 0.475 0.141
Mn: 0.537 0.525 0.859
Mn: 0.624 0.460 0.665
Cl: 0.011 0.847 0.419
Cl: 0.116 0.538 0.256
Cl: 0.151 0.831 0.082
Cl: 0.179 0.520 0.916
Cl: 0.276 0.790 0.754
Cl: 0.355 0.444 0.593
Cl: 0.371 0.228 0.408
Cl: 0.412 0.827 0.255
Cl: 0.449 0.156 0.088
Cl: 0.551 0.844 0.912
Cl: 0.588 0.173 0.745
Cl: 0.629 0.772 0.592
Cl: 0.645 0.556 0.407
Cl: 0.724 0.210 0.246
Cl: 0.821 0.480 0.084
Cl: 0.849 0.169 0.918
Cl: 0.884 0.462 0.744
Cl: 0.989 0.153 0.581

---

Compound: LiTeMo3
Source: the Alexandria database
Functional: PBE
Structure: optimized geometry

Values from the calculation:
Formation energy (no corrections) = 1.8433 eV per atom
E above lowest polymorph = 522 meV per atom
Space group = Pm-3m

Cell lengths 4.938, 4.938, 4.938 Å; angles 90.00, 90.00, 90.00 degrees
Positions (direct):
Li: 0.000 0.000 0.000
Te: 0.500 0.500 0.500
Mo: 0.000 0.500 0.500
Mo: 0.500 0.000 0.500
Mo: 0.500 0.500 0.000

---

Compound: Ac3PrRh2
Source: the Alexandria database
Functional: PBE
Structure: optimized geometry

Values from the calculation:
Space group = C2/m
ΔE_f = -0.53 eV per atom

Cell lengths 9.281, 9.281, 13.275 Å; angles 123.96, 123.96, 27.08 degrees
Positions (direct):
Ac: 0.061 0.061 0.194
Ac: 0.185 0.185 0.560
Ac: 0.314 0.314 0.946
Ac: 0.686 0.686 0.054
Ac: 0.815 0.815 0.440
Ac: 0.939 0.939 0.806
Pr: 0.441 0.441 0.310
Pr: 0.559 0.559 0.690
Rh: 0.124 0.124 0.868
Rh: 0.375 0.375 0.623
Rh: 0.625 0.625 0.377
Rh: 0.876 0.876 0.132

---

Compound: Sm4Pb3
Source: the Alexandria database
Functional: PBE
Structure: optimized geometry

Values from the calculation:
Space group = I-43d
ΔE_f = -0.57 eV per atom

Cell lengths 8.312, 8.312, 8.312 Å; angles 109.47, 109.47, 109.47 degrees
Positions (direct):
Sm: 0.000 0.139 0.500
Sm: 0.000 0.639 0.500
Sm: 0.139 0.500 0.000
Sm: 0.361 0.361 0.361
Sm: 0.500 0.000 0.139
Sm: 0.500 0.000 0.639
Sm: 0.639 0.500 0.000
Sm: 0.861 0.861 0.861
Pb: 0.125 0.875 0.250
Pb: 0.250 0.125 0.875
Pb: 0.375 0.625 0.750
Pb: 0.625 0.750 0.375
Pb: 0.750 0.375 0.625
Pb: 0.875 0.250 0.125

---

Compound: Ti3CdN
Source: the Alexandria database
Functional: PBE
Structure: optimized geometry

Values from the calculation:
Formation energy (no corrections) = -0.5115 eV per atom
Space group = Fd-3m

Cell lengths 7.895, 7.895, 7.895 Å; angles 60.00, 60.00, 60.00 degrees
Positions (direct):
Ti: 0.055 0.055 0.695
Ti: 0.055 0.695 0.055
Ti: 0.055 0.695 0.695
Ti: 0.305 0.305 0.945
Ti: 0.305 0.945 0.305
Ti: 0.305 0.945 0.945
Ti: 0.695 0.055 0.055
Ti: 0.695 0.055 0.695
Ti: 0.695 0.695 0.055
Ti: 0.945 0.305 0.305
Ti: 0.945 0.305 0.945
Ti: 0.945 0.945 0.305
Cd: 0.000 0.500 0.500
Cd: 0.500 0.000 0.500
Cd: 0.500 0.500 0.000
Cd: 0.500 0.500 0.500
N: 0.000 0.000 0.000
N: 0.000 0.000 0.500
N: 0.000 0.500 0.000
N: 0.500 0.000 0.000

---

Compound: La5Tb3Tm2
Source: the Alexandria database
Functional: PBE
Structure: optimized geometry

Values from the calculation:
Space group = C2/c
ΔE_f = 0.16 eV per atom

Cell lengths 9.221, 9.221, 10.168 Å; angles 108.35, 108.35, 107.76 degrees
Positions (direct):
La: 0.018 0.982 0.750
La: 0.122 0.383 0.758
La: 0.226 0.774 0.750
La: 0.383 0.122 0.258
La: 0.474 0.526 0.250
La: 0.526 0.474 0.750
La: 0.617 0.878 0.742
La: 0.774 0.226 0.250
La: 0.878 0.617 0.242
La: 0.982 0.018 0.250
Tb: 0.220 0.471 0.441
Tb: 0.269 0.731 0.250
Tb: 0.471 0.220 0.941
Tb: 0.529 0.780 0.059
Tb: 0.731 0.269 0.750
Tb: 0.780 0.529 0.559
Tm: 0.026 0.285 0.061
Tm: 0.285 0.026 0.561
Tm: 0.715 0.974 0.439
Tm: 0.974 0.715 0.939

---

Compound: Si2Sn2PbAu7
Source: the Alexandria database
Functional: PBE
Structure: optimized geometry

Values from the calculation:
Formation energy (no corrections) = -0.0059 eV per atom
Space group = C2/m

Cell lengths 4.632, 4.632, 12.770 Å; angles 93.33, 93.33, 100.76 degrees
Positions (direct):
Si: 0.132 0.132 0.269
Si: 0.868 0.868 0.731
Sn: 0.334 0.334 0.881
Sn: 0.666 0.666 0.119
Pb: 0.500 0.500 0.500
Au: 0.000 0.000 0.500
Au: 0.003 0.599 0.320
Au: 0.179 0.179 0.081
Au: 0.401 0.997 0.680
Au: 0.599 0.003 0.320
Au: 0.821 0.821 0.919
Au: 0.997 0.401 0.680

---

Compound: Ga3CuH
Source: the Alexandria database
Functional: PBE
Structure: optimized geometry

Values from the calculation:
E above lowest polymorph = 0 meV per atom
Space group = Pm-3m

Cell lengths 4.159, 4.159, 4.159 Å; angles 90.00, 90.00, 90.00 degrees
Positions (direct):
Ga: 0.000 0.000 0.500
Ga: 0.000 0.500 0.000
Ga: 0.500 0.000 0.000
Cu: 0.500 0.500 0.500
H: 0.000 0.000 0.000

---

Compound: Sr2Li4InSn3
Source: the Alexandria database
Functional: PBE
Structure: optimized geometry

Values from the calculation:
Space group = P-4m2
ΔE_f = -0.39 eV per atom

Cell lengths 4.717, 4.717, 11.322 Å; angles 90.00, 90.00, 90.00 degrees
Positions (direct):
Sr: 0.000 0.500 0.238
Sr: 0.500 0.000 0.762
Li: 0.000 0.000 0.000
Li: 0.000 0.500 0.638
Li: 0.500 0.000 0.362
Li: 0.500 0.500 0.000
In: 0.000 0.000 0.500
Sn: 0.000 0.500 0.877
Sn: 0.500 0.000 0.123
Sn: 0.500 0.500 0.500

---

Compound: PrErSn2
Source: the Alexandria database
Functional: PBE
Structure: optimized geometry

Values from the calculation:
E above lowest polymorph = 0 meV per atom
Space group = Amm2
ΔE_f = -0.72 eV per atom

Cell lengths 4.360, 6.233, 6.233 Å; angles 43.16, 90.00, 90.00 degrees
Positions (direct):
Pr: 0.000 0.000 0.000
Er: 0.500 0.269 0.269
Sn: 0.000 0.727 0.727
Sn: 0.500 0.544 0.544

---

Listing total magnetization for the structures above in their given order: 0.795 0.000 9.000 0.001 0.000 0.000 0.422 0.000 0.000 0.000 0.000 0.000 μB/f.u..